Entry 1:
DFT (PBE) results for CePrIn5 after structural relaxation.

Lattice parameters (Å, degrees): 5.266 5.266 7.490 90.00 90.00 90.00
Element x y z (fractional)
1 Ce 0.000 0.000 0.000
2 Pr 0.500 0.500 0.500
3 In 0.000 0.000 0.500
4 In 0.000 0.500 0.238
5 In 0.000 0.500 0.762
6 In 0.500 0.000 0.238
7 In 0.500 0.000 0.762

Results
SG: No. 123
DFT formation energy in eV per atom: -0.155



Entry 2:
DFT (PBE) results for Ho5Zn3Ag12 after structural relaxation.

Lattice parameters (Å, degrees): 13.934 13.934 13.934 109.47 109.47 109.47
Element x y z (fractional)
1 Ho 0.000 0.000 0.000
2 Ho 0.000 0.000 0.500
3 Ho 0.000 0.500 0.000
4 Ho 0.000 0.500 0.500
5 Ho 0.125 0.750 0.875
6 Ho 0.125 0.875 0.250
7 Ho 0.250 0.125 0.875
8 Ho 0.250 0.625 0.375
9 Ho 0.375 0.250 0.625
10 Ho 0.375 0.625 0.750
11 Ho 0.500 0.000 0.000
12 Ho 0.500 0.000 0.500
13 Ho 0.500 0.500 0.000
14 Ho 0.500 0.500 0.500
15 Ho 0.625 0.375 0.250
16 Ho 0.625 0.750 0.375
17 Ho 0.750 0.375 0.625
18 Ho 0.750 0.875 0.125
19 Ho 0.875 0.125 0.750
20 Ho 0.875 0.250 0.125
21 Zn 0.125 0.250 0.375
22 Zn 0.125 0.375 0.750
23 Zn 0.250 0.375 0.125
24 Zn 0.250 0.875 0.625
25 Zn 0.375 0.125 0.250
26 Zn 0.375 0.750 0.125
27 Zn 0.625 0.250 0.875
28 Zn 0.625 0.875 0.750
29 Zn 0.750 0.125 0.375
30 Zn 0.750 0.625 0.875
31 Zn 0.875 0.625 0.250
32 Zn 0.875 0.750 0.625
33 Ag 0.055 0.637 0.394
34 Ag 0.055 0.917 0.661
35 Ag 0.083 0.243 0.137
36 Ag 0.083 0.339 0.945
37 Ag 0.106 0.743 0.661
38 Ag 0.106 0.863 0.445
39 Ag 0.137 0.083 0.243
40 Ag 0.137 0.555 0.894
41 Ag 0.161 0.243 0.606
42 Ag 0.161 0.417 0.555
43 Ag 0.243 0.137 0.083
44 Ag 0.243 0.606 0.161
45 Ag 0.257 0.339 0.894
46 Ag 0.257 0.417 0.363
47 Ag 0.339 0.894 0.257
48 Ag 0.339 0.945 0.083
49 Ag 0.363 0.257 0.417
50 Ag 0.363 0.606 0.945
51 Ag 0.394 0.055 0.637
52 Ag 0.394 0.839 0.757
53 Ag 0.417 0.363 0.257
54 Ag 0.417 0.555 0.161
55 Ag 0.445 0.106 0.863
56 Ag 0.445 0.839 0.583
57 Ag 0.555 0.161 0.417
58 Ag 0.555 0.894 0.137
59 Ag 0.583 0.445 0.839
60 Ag 0.583 0.637 0.743
61 Ag 0.606 0.161 0.243
62 Ag 0.606 0.945 0.363
63 Ag 0.637 0.394 0.055
64 Ag 0.637 0.743 0.583
65 Ag 0.661 0.055 0.917
66 Ag 0.661 0.106 0.743
67 Ag 0.743 0.583 0.637
68 Ag 0.743 0.661 0.106
69 Ag 0.757 0.394 0.839
70 Ag 0.757 0.863 0.917
71 Ag 0.839 0.583 0.445
72 Ag 0.839 0.757 0.394
73 Ag 0.863 0.445 0.106
74 Ag 0.863 0.917 0.757
75 Ag 0.894 0.137 0.555
76 Ag 0.894 0.257 0.339
77 Ag 0.917 0.661 0.055
78 Ag 0.917 0.757 0.863
79 Ag 0.945 0.083 0.339
80 Ag 0.945 0.363 0.606

Results
SG: No. 230
DFT formation energy in eV per atom: 0.316



Entry 3:
DFT (PBE) results for ZrIrCl after structural relaxation.

Lattice parameters (Å, degrees): 3.738 3.738 11.796 96.73 96.73 60.01
Element x y z (fractional)
1 Zr 0.048 0.048 0.192
2 Zr 0.952 0.952 0.808
3 Ir 0.349 0.349 0.064
4 Ir 0.651 0.651 0.936
5 Cl 0.249 0.249 0.658
6 Cl 0.751 0.751 0.342

Results
Energy above the lowest structure with this stoichiometry in meV per atom: 36
E_form (uncorrected) in eV/atom: -1.009
SG: No. 12



Entry 4:
DFT (PBE) results for ZrS2Cl after structural relaxation.

Lattice parameters (Å, degrees): 7.184 7.184 7.184 123.57 123.57 83.92
Element x y z (fractional)
1 Zr 0.000 0.000 0.000
2 Zr 0.750 0.250 0.500
3 S 0.037 0.625 0.912
4 S 0.375 0.287 0.412
5 S 0.713 0.125 0.088
6 S 0.875 0.963 0.588
7 Cl 0.250 0.750 0.500
8 Cl 0.500 0.500 0.000

Results
Energy above the lowest structure with this stoichiometry in meV per atom: 632
E_form (uncorrected) in eV/atom: -0.640
SG: No. 122



Entry 5:
DFT (PBE) results for PuTcSe2 after structural relaxation.

Lattice parameters (Å, degrees): 9.509 9.509 9.509 19.65 19.65 19.65
Element x y z (fractional)
1 Pu 0.000 0.000 0.000
2 Tc 0.500 0.500 0.500
3 Se 0.105 0.105 0.105
4 Se 0.895 0.895 0.895

Results
E_form (uncorrected) in eV/atom: -0.128
SG: No. 166



Entry 6:
DFT (PBE) results for NdSmIn2 after structural relaxation.

Lattice parameters (Å, degrees): 5.448 5.448 5.448 60.00 60.00 60.00
Element x y z (fractional)
1 Nd 0.000 0.000 0.000
2 Sm 0.500 0.500 0.500
3 In 0.250 0.250 0.250
4 In 0.750 0.750 0.750

Results
SG: No. 225
DFT formation energy in eV per atom: -0.493



Entry 7:
DFT (PBE) results for La5Dy5Ho2 after structural relaxation.

Lattice parameters (Å, degrees): 8.147 8.147 11.423 115.31 115.31 36.69
Element x y z (fractional)
1 La 0.000 0.000 0.000
2 La 0.081 0.081 0.748
3 La 0.249 0.249 0.253
4 La 0.751 0.751 0.747
5 La 0.919 0.919 0.252
6 Dy 0.333 0.333 0.000
7 Dy 0.415 0.415 0.746
8 Dy 0.500 0.500 0.500
9 Dy 0.585 0.585 0.254
10 Dy 0.667 0.667 0.000
11 Ho 0.167 0.167 0.499
12 Ho 0.833 0.833 0.501

Results
SG: No. 12
DFT formation energy in eV per atom: 0.029



Entry 8:
DFT (PBE) results for LaTi2Cu2 after structural relaxation.

Lattice parameters (Å, degrees): 7.589 7.589 3.190 90.00 90.00 90.00
Element x y z (fractional)
1 La 0.000 0.000 0.000
2 La 0.500 0.500 0.000
3 Ti 0.164 0.336 0.500
4 Ti 0.336 0.836 0.500
5 Ti 0.664 0.164 0.500
6 Ti 0.836 0.664 0.500
7 Cu 0.119 0.619 0.000
8 Cu 0.381 0.119 0.000
9 Cu 0.619 0.881 0.000
10 Cu 0.881 0.381 0.000

Results
Energy above the lowest structure with this stoichiometry in meV per atom: 114
SG: No. 127
DFT formation energy in eV per atom: 0.178



Entry 9:
DFT (PBE) results for Pr2YHf after structural relaxation.

Lattice parameters (Å, degrees): 5.007 5.007 4.884 90.00 90.00 90.00
Element x y z (fractional)
1 Pr 0.000 0.500 0.000
2 Pr 0.500 0.000 0.000
3 Y 0.000 0.000 0.500
4 Hf 0.500 0.500 0.500

Results
Energy above the lowest structure with this stoichiometry in meV per atom: 0
SG: No. 123
DFT formation energy in eV per atom: 0.188



Entry 10:
DFT (PBE) results for AlPtAu3 after structural relaxation.

Lattice parameters (Å, degrees): 4.701 4.701 4.701 90.00 90.00 90.00
Element x y z (fractional)
1 Al 0.000 0.000 0.000
2 Pt 0.500 0.500 0.500
3 Au 0.000 0.000 0.500
4 Au 0.000 0.500 0.000
5 Au 0.500 0.000 0.000

Results
Energy above the lowest structure with this stoichiometry in meV per atom: 0
SG: No. 221
DFT formation energy in eV per atom: 0.623



Entry 11:
DFT (PBE) results for LiIn3B after structural relaxation.

Lattice parameters (Å, degrees): 4.894 4.894 4.894 90.00 90.00 90.00
Element x y z (fractional)
1 Li 0.000 0.000 0.000
2 In 0.000 0.500 0.500
3 In 0.500 0.000 0.500
4 In 0.500 0.500 0.000
5 B 0.500 0.500 0.500

Results
SG: No. 221
DFT formation energy in eV per atom: 0.457



Entry 12:
DFT (PBE) results for LaZnSn2Rh2 after structural relaxation.

Lattice parameters (Å, degrees): 4.710 4.710 5.954 90.00 90.00 90.00
Element x y z (fractional)
1 La 0.000 0.000 0.000
2 Zn 0.000 0.000 0.500
3 Sn 0.500 0.500 0.244
4 Sn 0.500 0.500 0.756
5 Rh 0.000 0.500 0.500
6 Rh 0.500 0.000 0.500

Results
SG: No. 123
DFT formation energy in eV per atom: -0.444